Compound: Y4Ir
Source: the Alexandria database
Functional: PBE
Structure: relaxed

Computed properties:
Energy of formation   -367 meV/atom
Uncorrected energy   -7.3104 eV/atom
Distance to the lowest polymorph of the same formula   0 meV per atom

extended XYZ file:
```
5
Lattice="3.7568 -3.4958 -3.9610 -0.5504 3.2675 5.5717 -3.4208 -5.1012 2.0736" Properties=species:S:1:pos:R:3 pbc="T T T"
Y -0.8244 -4.1003 1.0599
Y 0.6100 -1.2291 2.6245
Y 1.9872 -2.1813 -0.2520
Y -2.2016 -3.1482 3.9364
Ir 0.0000 0.0000 0.0000
```

Compound: YIr
Source: the Alexandria database
Functional: PBE
Structure: relaxed

Computed properties:
Energy of formation   -538 meV/atom
Uncorrected energy   -8.2008 eV/atom

extended XYZ file:
```
6
Lattice="-2.0758 2.7787 5.7299 2.0758 -2.7787 5.7299 2.0758 2.7787 -5.7299" Properties=species:S:1:pos:R:3 pbc="T T T"
Ir 2.0758 1.4768 4.3931
Ir 0.0000 0.1570 5.7299
Ir 0.0000 4.2555 1.3368
Y 2.0758 0.2389 0.0000
Y 0.0000 1.5664 2.4101
Y 2.0758 -1.2123 3.3198
```

Compound: Y2Ir
Source: the Alexandria database
Functional: PBE
Structure: relaxed

Computed properties:
Energy of formation   -559 meV/atom
Uncorrected energy   -7.8224 eV/atom

extended XYZ file:
```
6
Lattice="1.8162 -7.8401 0.0000 1.8162 7.8401 0.0000 0.0000 0.0000 5.0892" Properties=species:S:1:pos:R:3 pbc="T T T"
Ir 1.8162 -6.6582 3.8169
Ir 1.8162 6.6582 1.2723
Y 1.8162 3.3393 3.8169
Y 1.8162 -1.1064 3.8169
Y 1.8162 1.1064 1.2723
Y 1.8162 -3.3393 1.2723
```

Compound: Y4Ir3
Source: the Alexandria database
Functional: PBE
Structure: relaxed

Computed properties:
Energy of formation   -377 meV/atom
Uncorrected energy   -7.8687 eV/atom
Distance to the lowest polymorph of the same formula   403 meV per atom

extended XYZ file:
```
7
Lattice="0.3428 4.3646 3.3904 -3.0462 -4.3936 1.4421 4.5481 -2.3228 2.5304" Properties=species:S:1:pos:R:3 pbc="T T T"
Y 3.4808 -1.7777 1.9365
Y 1.0674 -0.5451 0.5939
Y 1.4872 0.2838 4.0062
Y 0.3575 -2.6356 3.3567
Ir -1.3517 -0.0145 2.4163
Ir 0.1714 2.1823 1.6952
Ir -1.5231 -2.1968 0.7210
```

Compound: YIr2
Source: the Alexandria database
Functional: PBE
Structure: relaxed

Computed properties:
Energy of formation   -171 meV/atom
Uncorrected energy   -8.2331 eV/atom

extended XYZ file:
```
3
Lattice="-1.1214 -2.7764 -2.2143 2.2208 -2.3603 1.8347 -3.4095 -0.9449 2.9114" Properties=species:S:1:pos:R:3 pbc="T T T"
Y 0.0000 0.0000 0.0000
Ir -0.5944 -1.6526 2.3731
Ir -2.2655 -1.8606 0.3486
```

Compound: YIr
Source: the Alexandria database
Functional: PBE
Structure: relaxed

Computed properties:
Energy of formation   -545 meV/atom
Uncorrected energy   -8.2077 eV/atom

extended XYZ file:
```
8
Lattice="-2.0052 3.1618 2.1303 -1.3623 -4.0671 0.3988 8.2683 -1.7515 10.3822" Properties=species:S:1:pos:R:3 pbc="T T T"
Y 3.3341 -0.3335 7.9884
Y 5.4865 -0.7895 10.6912
Y -0.5857 -1.8674 2.2201
Y 1.5667 -2.3233 4.9229
Ir 6.2012 -1.3136 7.7866
Ir 0.2762 0.3143 4.1487
Ir 2.0671 -0.4379 2.5955
Ir 4.6246 -2.9711 8.7626
```

Compound: YIr
Source: the Alexandria database
Functional: PBE
Structure: relaxed

Computed properties:
Energy of formation   -534 meV/atom
Uncorrected energy   -8.1960 eV/atom

extended XYZ file:
```
4
Lattice="-1.5259 -0.0829 -3.7461 -1.4342 -4.7685 2.8745 -3.7375 0.3213 1.5153" Properties=species:S:1:pos:R:3 pbc="T T T"
Ir 0.0000 0.0000 0.0000
Ir -4.6647 -2.2054 -0.2358
Y -2.6317 0.1192 -1.1154
Y -2.0330 -2.3246 0.8796
```

Compound: YIr2
Source: the Alexandria database
Functional: PBE
Structure: relaxed

Computed properties:
Energy of formation   -429 meV/atom
Uncorrected energy   -8.4910 eV/atom

extended XYZ file:
```
12
Lattice="-1.6541 -2.6600 2.6606 -2.2060 -1.6686 -3.0397 11.3588 -6.0390 -2.1502" Properties=species:S:1:pos:R:3 pbc="T T T"
Ir -0.4440 -3.4572 -0.5583
Ir -0.8154 -1.3401 1.3274
Ir 5.3734 -6.7246 -0.2083
Ir 2.4013 -4.1387 0.5292
Ir 7.9427 -6.9104 -1.9710
Ir 4.7260 -4.1118 -1.1728
Ir 2.7727 -6.2558 -1.3565
Ir 8.5901 -9.5232 -1.0065
Y 5.0577 -6.1943 -3.0486
Y 6.0523 -9.1092 -2.1703
Y 1.4464 -1.2584 -0.3589
Y 2.1650 -3.6776 -2.3308
```

Compound: YIr
Source: the Alexandria database
Functional: PBE
Structure: relaxed

Computed properties:
Energy of formation   -565 meV/atom
Uncorrected energy   -8.2272 eV/atom

extended XYZ file:
```
12
Lattice="-7.6732 -0.9768 -4.5836 6.4625 -6.2145 -0.6756 -1.6776 -2.0984 3.2556" Properties=species:S:1:pos:R:3 pbc="T T T"
Ir -2.8026 -4.8215 -0.4475
Ir -0.0856 -4.4683 -1.5561
Ir -4.7459 -2.9529 -0.2444
Ir 1.8577 -6.3369 -1.7592
Ir 2.2216 -4.1745 -0.1778
Ir -5.1099 -5.1153 -1.8258
Y -5.2862 -2.5413 -2.9939
Y -2.1831 -2.1462 -1.1402
Y -0.7051 -7.1436 -0.8635
Y -0.2155 -4.2353 1.2634
Y 2.3980 -6.7485 0.9902
Y -2.6727 -5.0545 -3.2671
```

Compound: YIr
Source: the Alexandria database
Functional: PBE
Structure: relaxed

Computed properties:
Energy of formation   -56 meV/atom
Uncorrected energy   -7.7189 eV/atom

extended XYZ file:
```
4
Lattice="3.9426 0.0000 0.0000 -1.9713 3.4144 0.0000 0.0000 0.0000 7.8764" Properties=species:S:1:pos:R:3 pbc="T T T"
Y 0.0000 2.2762 6.4504
Y 0.0000 0.0000 3.3951
Ir 0.0000 2.2762 1.4690
Ir 0.0000 0.0000 0.5001
```

Compound: Y2Ir
Source: the Alexandria database
Functional: PBE
Structure: relaxed

Computed properties:
Energy of formation   707 meV/atom
Uncorrected energy   -6.5565 eV/atom

extended XYZ file:
```
6
Lattice="0.0000 4.1012 4.1012 4.1012 0.0000 4.1012 4.1012 4.1012 0.0000" Properties=species:S:1:pos:R:3 pbc="T T T"
Y 3.0759 3.0759 5.1265
Y 3.0759 5.1265 3.0759
Y 5.1265 3.0759 3.0759
Y 5.1265 5.1265 5.1265
Ir 0.0000 0.0000 0.0000
Ir 2.0506 2.0506 2.0506
```

Compound: Y2Ir
Source: the Alexandria database
Functional: PBE
Structure: relaxed

Computed properties:
Energy of formation   -643 meV/atom
Uncorrected energy   -7.9064 eV/atom

extended XYZ file:
```
9
Lattice="7.4487 0.0000 0.0000 -3.7244 6.4508 0.0000 0.0000 0.0000 4.5767" Properties=species:S:1:pos:R:3 pbc="T T T"
Y 2.7539 4.7699 0.0000
Y -2.1976 3.8064 2.2884
Y 1.9408 0.0000 0.0000
Y -0.9704 1.6808 0.0000
Y 4.3952 0.0000 2.2884
Y 1.5268 2.6444 2.2884
Ir 0.0000 4.3005 0.0000
Ir 0.0000 0.0000 2.2884
Ir 3.7244 2.1503 0.0000
```